{"formula": "Ti3MnV2P6O24", "functional": "PBEsol", "state": "relaxed", "magnetic_moment_mub_per_fu": 11.1, "dft_energy_ev_per_cell": -299.51, "crystal_system": "trigonal", "lattice": [[4.3090, 2.4878, 6.7580], [-4.3090, 2.4878, 6.7580], [0.0000, -4.9756, 6.7580]], "species": ["Ti", "Ti", "Ti", "Mn", "V", "V", "P", "P", "P", "P", "P", "P", "O", "O", "O", "O", "O", "O", "O", "O", "O", "O", "O", "O", "O", "O", "O", "O", "O", "O", "O", "O", "O", "O", "O", "O"], "frac_coords": [[0.0000, 0.0000, 0.0000], [0.2146, 0.2146, 0.2146], [0.5026, 0.5026, 0.5026], [0.7145, 0.7145, 0.7145], [0.3581, 0.3581, 0.3581], [0.8595, 0.8595, 0.8595], [0.1113, 0.8138, 0.4023], [0.3135, 0.6106, 0.9077], [0.4023, 0.1113, 0.8138], [0.6106, 0.9077, 0.3135], [0.8138, 0.4023, 0.1113], [0.9077, 0.3135, 0.6106], [0.0410, 0.8570, 0.2424], [0.1071, 0.2880, 0.4510], [0.1116, 0.7663, 0.9158], [0.1999, 0.9666, 0.3386], [0.2424, 0.0410, 0.8570], [0.2681, 0.6125, 0.4178], [0.2880, 0.4510, 0.1071], [0.3386, 0.1999, 0.9666], [0.3656, 0.5409, 0.7431], [0.4178, 0.2681, 0.6125], [0.4510, 0.1071, 0.2880], [0.4604, 0.6815, 0.8806], [0.5409, 0.7431, 0.3656], [0.5983, 0.9600, 0.8137], [0.6125, 0.4178, 0.2681], [0.6815, 0.8806, 0.4604], [0.7431, 0.3656, 0.5409], [0.7663, 0.9158, 0.1116], [0.8137, 0.5983, 0.9600], [0.8570, 0.2424, 0.0410], [0.8806, 0.4604, 0.6815], [0.9158, 0.1116, 0.7663], [0.9600, 0.8137, 0.5983], [0.9666, 0.3386, 0.1999]]}

---

{"formula": "MoPd3F", "functional": "PBEsol", "state": "relaxed", "magnetic_moment_mub_per_fu": 0.0, "dft_energy_ev_per_cell": -26.09, "crystal_system": "cubic", "lattice": [[4.6849, 0.0000, 0.0000], [0.0000, 4.6849, 0.0000], [0.0000, 0.0000, 4.6849]], "species": ["Mo", "Pd", "Pd", "Pd", "F"], "frac_coords": [[0.0000, 0.0000, 0.0000], [0.0000, 0.0000, 0.5000], [0.0000, 0.5000, 0.0000], [0.5000, 0.0000, 0.0000], [0.5000, 0.5000, 0.5000]]}

---

Formation energy (no corrections) across the listed records, respectively: -2.355, 1.096 eV per atom.
DOS(E_F) across the listed records, respectively: 6.79, 3.09 states/eV/cell.